Record 1
# HoEr2Lu (PBE, relaxed)
data_HoEr2Lu
_chemical_formula_sum 'Ho4 Er8 Lu4'
_cell_length_a 5.5139
_cell_length_b 12.3277
_cell_length_c 7.1164
_cell_angle_alpha 90.00
_cell_angle_beta 90.00
_cell_angle_gamma 90.00
_symmetry_space_group_name_H-M 'A m a 2'
_symmetry_Int_Tables_number 40
_symmetry_space_group_name_Hall 'A 2 -2a'
loop_
_atom_site_label
_atom_site_type_symbol
_atom_site_fract_x
_atom_site_fract_y
_atom_site_fract_z
Ho1 Ho 0.2500 0.1665 0.0000
Er1 Er 0.2500 0.1664 0.5007
Er2 Er 0.2500 0.4170 0.2501
Lu1 Lu 0.2500 0.4169 0.7507
# Total moment, μB/f.u.: 0.0
# Total DFT energy (no corrections), eV per cell: -72.9
# Formation energy from the elements, eV per atom: 0.000

Record 2
# Ho2Er5Lu (PBE, relaxed)
data_Ho2Er5Lu
_chemical_formula_sum 'Ho4 Er10 Lu2'
_cell_length_a 5.5304
_cell_length_b 7.1350
_cell_length_c 12.3575
_cell_angle_alpha 90.00
_cell_angle_beta 90.00
_cell_angle_gamma 90.00
_symmetry_space_group_name_H-M 'A m m 2'
_symmetry_Int_Tables_number 38
_symmetry_space_group_name_Hall 'A 2 -2'
loop_
_atom_site_label
_atom_site_type_symbol
_atom_site_fract_x
_atom_site_fract_y
_atom_site_fract_z
Ho1 Ho 0.0000 0.0000 0.0000
Ho2 Ho 0.5000 0.0000 0.3337
Er1 Er 0.0000 0.2495 0.7504
Er2 Er 0.5000 0.0000 0.8335
Er3 Er 0.5000 0.2502 0.0836
Lu1 Lu 0.0000 0.0000 0.5005
# Total moment, μB/f.u.: 0.1
# Total DFT energy (no corrections), eV per cell: -73.0
# Formation energy from the elements, eV per atom: 0.000

Record 3
# HoErLu6 (PBE, relaxed)
data_HoErLu6
_chemical_formula_sum 'Ho1 Er1 Lu6'
_cell_length_a 7.0451
_cell_length_b 7.0451
_cell_length_c 5.4773
_cell_angle_alpha 90.00
_cell_angle_beta 90.00
_cell_angle_gamma 120.00
_symmetry_space_group_name_H-M 'P -6 m 2'
_symmetry_Int_Tables_number 187
_symmetry_space_group_name_Hall 'P -6 2'
loop_
_atom_site_label
_atom_site_type_symbol
_atom_site_fract_x
_atom_site_fract_y
_atom_site_fract_z
Ho1 Ho 0.0000 0.0000 0.0000
Er1 Er 0.3333 0.6667 0.5000
Lu1 Lu 0.3347 0.1674 0.5000
Lu2 Lu 0.5007 0.0014 0.0000
# Total moment, μB/f.u.: 0.0
# Total DFT energy (no corrections), eV per cell: -36.3
# Formation energy from the elements, eV per atom: -0.001

Record 4
# Ho2Er3Lu3 (PBE, relaxed)
data_Ho2Er3Lu3
_chemical_formula_sum 'Ho2 Er3 Lu3'
_cell_length_a 7.1035
_cell_length_b 7.1035
_cell_length_c 5.5021
_cell_angle_alpha 90.00
_cell_angle_beta 90.00
_cell_angle_gamma 120.00
_symmetry_space_group_name_H-M 'P -6 m 2'
_symmetry_Int_Tables_number 187
_symmetry_space_group_name_Hall 'P -6 2'
loop_
_atom_site_label
_atom_site_type_symbol
_atom_site_fract_x
_atom_site_fract_y
_atom_site_fract_z
Ho1 Ho 0.0000 0.0000 0.0000
Ho2 Ho 0.3333 0.6667 0.5000
Er1 Er 0.9995 0.4998 0.0000
Lu1 Lu 0.3345 0.1673 0.5000
# Total moment, μB/f.u.: 0.0
# Total DFT energy (no corrections), eV per cell: -36.4
# Formation energy from the elements, eV per atom: 0.000